1.
Entry from Alexandria: a geometry-optimized Dy2FeSiC structure (PBE-GGA).

```
Dy2FeSiC
1.0
3.6931 0.0000 0.0000
0.0000 3.6931 0.0000
0.0000 0.0000 12.8379
Dy Fe Si C
4 2 2 2
direct
0.2500 0.2500 0.0920
0.2500 0.2500 0.7097
0.7500 0.7500 0.2903
0.7500 0.7500 0.9080
0.2500 0.7500 0.5000
0.7500 0.2500 0.5000
0.2500 0.2500 0.3871
0.7500 0.7500 0.6129
0.2500 0.2500 0.8956
0.7500 0.7500 0.1044
```

Results
* calculated volume: 88 Å³/f.u.
* D(E_F): 5.47 states/eV/cell
* DFT total energy: -68.78 eV/cell
* space group: P4/nmm (129)
* raw formation energy: -415.5 meV per atom

2.
Entry from Alexandria: a geometry-optimized DyFeSiC structure (PBE-GGA).

```
DyFeSiC
1.0
3.6398 0.0000 0.0000
0.0000 3.6398 0.0000
0.0000 0.0000 8.8413
Dy Fe Si C
2 2 2 2
direct
0.2500 0.2500 0.1421
0.7500 0.7500 0.8579
0.2500 0.7500 0.5000
0.7500 0.2500 0.5000
0.2500 0.2500 0.6665
0.7500 0.7500 0.3335
0.2500 0.2500 0.8708
0.7500 0.7500 0.1292
```

Results
* calculated volume: 59 Å³/f.u.
* D(E_F): 5.22 states/eV/cell
* DFT total energy: -58.67 eV/cell
* space group: P4/nmm (129)
* raw formation energy: -406.4 meV per atom

3.
Entry from Alexandria: a geometry-optimized DyFe2SiC structure (PBE-GGA).

```
DyFe2SiC
1.0
1.8761 -5.2125 0.0000
1.8761 5.2125 0.0000
0.0000 0.0000 6.7240
Dy Fe Si C
2 4 2 2
direct
0.0508 0.9492 0.7500
0.9492 0.0508 0.2500
0.3346 0.6654 0.5629
0.3346 0.6654 0.9371
0.6654 0.3346 0.0629
0.6654 0.3346 0.4371
0.2297 0.7703 0.2500
0.7703 0.2297 0.7500
0.5000 0.5000 0.0000
0.5000 0.5000 0.5000
```

Results
* calculated volume: 66 Å³/f.u.
* D(E_F): 8.75 states/eV/cell
* DFT total energy: -77.65 eV/cell
* space group: Cmcm (63)
* raw formation energy: -529.6 meV per atom

4.
Entry from Alexandria: a geometry-optimized DyTh2FeC2 structure (PBE-GGA).

```
DyTh2FeC2
1.0
5.7275 0.0000 0.0000
0.0000 11.0827 0.0000
0.0000 0.0000 3.7275
Dy Th Fe C
2 4 2 4
direct
0.0000 0.0000 0.0000
0.5000 0.5000 0.5000
0.0268 0.2952 0.5000
0.4732 0.7952 0.0000
0.5268 0.2048 0.0000
0.9732 0.7048 0.5000
0.0000 0.5000 0.0000
0.5000 0.0000 0.5000
0.2387 0.8908 0.5000
0.2613 0.3908 0.0000
0.7387 0.6092 0.0000
0.7613 0.1092 0.5000
```

Results
* calculated volume: 118 Å³/f.u.
* D(E_F): 10.60 states/eV/cell
* DFT total energy: -94.37 eV/cell
* space group: Pnnm (58)
* E_form: -0.83 eV per formula unit

5.
Entry from Alexandria: a geometry-optimized Dy2ZnFeC structure (PBE-GGA).

```
Dy2ZnFeC
1.0
4.9599 0.0000 0.0000
0.0000 4.9599 0.0000
0.0000 0.0000 3.6652
Dy Zn Fe C
2 1 1 1
direct
0.0000 0.5000 0.0000
0.5000 0.0000 0.0000
0.0000 0.0000 0.5000
0.5000 0.5000 0.5000
0.5000 0.5000 0.0000
```

Results
* calculated volume: 90 Å³/f.u.
* D(E_F): 2.99 states/eV/cell
* DFT total energy: -29.83 eV/cell
* space group: P4/mmm (123)
* E_form: -1.67 eV per formula unit

6.
Entry from Alexandria: a geometry-optimized Dy4Ga2C structure (PBE-GGA).

```
Dy4Ga2C
1.0
7.8855 -1.8018 0.0000
7.8855 1.8018 0.0000
-2.2826 0.0000 5.7504
Dy Ga C
4 2 1
direct
0.0853 0.0853 0.4101
0.3911 0.3911 0.0303
0.6089 0.6089 0.9697
0.9147 0.9147 0.5899
0.2608 0.2608 0.3216
0.7392 0.7392 0.6784
0.0000 0.0000 0.0000
```

Results
* calculated volume: 163 Å³/f.u.
* D(E_F): 4.11 states/eV/cell
* DFT total energy: -36.02 eV/cell
* space group: C2/m (12)
* E_form: -2.34 eV per formula unit

7.
Entry from Alexandria: a geometry-optimized DyGaC structure (PBE-GGA).

```
DyGaC
1.0
-1.8330 1.8330 8.4809
1.8330 -1.8330 8.4809
1.8330 1.8330 -8.4809
Dy Ga C
2 2 2
direct
0.1807 0.1807 0.0000
0.8193 0.8193 0.0000
0.4321 0.4321 0.0000
0.5679 0.5679 0.0000
0.3205 0.3205 0.0000
0.6795 0.6795 0.0000
```

Results
* calculated volume: 57 Å³/f.u.
* D(E_F): 2.26 states/eV/cell
* DFT total energy: -34.51 eV/cell
* space group: I4/mmm (139)
* E_form: -0.40 eV per formula unit

8.
Entry from Alexandria: a geometry-optimized Dy2GaC structure (PBE-GGA).

```
Dy2GaC
1.0
1.8030 1.0409 7.5163
-1.8030 1.0409 7.5163
0.0000 -2.0819 7.5163
Dy Ga C
2 1 1
direct
0.2272 0.2272 0.2272
0.7728 0.7728 0.7728
0.0000 0.0000 0.0000
0.5000 0.5000 0.5000
```

Results
* calculated volume: 85 Å³/f.u.
* D(E_F): 4.42 states/eV/cell
* DFT total energy: -22.90 eV/cell
* space group: R-3m (166)
* E_form: -1.44 eV per formula unit